A geometry-optimized Ca2CdCu structure, computed with PBE.

Unit cell a=6.296 b=6.296 c=6.296 alpha=146.15 beta=130.97 gamma=60.91
Fractional positions:
Ca  0.000  0.000  0.000
Ca  0.703  0.203  0.500
Cd  0.420  0.420  0.000
Cu  0.233  0.733  0.500

Output
E_form: -125 meV per atom
raw total energy: -2.379 eV per atom
SG: No. 44



A geometry-optimized NaCe2Pr structure, computed with PBE.

Unit cell a=13.132 b=13.132 c=13.132 alpha=14.94 beta=14.94 gamma=14.94
Fractional positions:
Na  0.000  0.000  0.000
Ce  0.090  0.090  0.090
Ce  0.910  0.910  0.910
Pr  0.500  0.500  0.500

Output
E_form: 267 meV per atom
raw total energy: -4.224 eV per atom
SG: No. 166



A geometry-optimized MgReTc2 structure, computed with PBE.

Unit cell a=5.144 b=5.144 c=5.144 alpha=145.12 beta=127.79 gamma=64.34
Fractional positions:
Mg  0.000  0.000  0.000
Re  0.500  0.500  0.000
Tc  0.263  0.763  0.500
Tc  0.737  0.237  0.500

Output
E_form: 188 meV per atom
raw total energy: -8.505 eV per atom
SG: No. 71